4
Lattice="-2.045 -1.909 -1.797 2.410 -0.446 -2.247 2.593 -6.638 4.099" Properties=species:S:1:pos:R:3 comment="PBE-GGA YOs2Cl, optimized geometry" de_polymorph_mev_per_atom=149 vol_a3_per_cell=90.9 spacegroup="Cmm2 (35)" raw_formation_energy_ev_per_atom=-0.070 pbc="T T T"
Cl 1.940 -5.677 0.757
Os 0.303 -0.775 0.479
Os 0.772 -2.687 -1.090
Y 1.239 -3.172 1.959